Record 1
! Tb3NdHo6Er2 (GGA-PBE, optimized geometry); values from VASP
&SYSTEM
  ibrav = 0, nat = 12, ntyp = 4
/
ATOMIC_SPECIES
Tb 158.93 Tb.upf
Nd 144.24 Nd.upf
Ho 164.93 Ho.upf
Er 167.26 Er.upf
ATOMIC_POSITIONS crystal
Tb 0.000 0.000 0.000
Tb 0.333 0.667 0.000
Tb 0.667 0.333 0.000
Nd 0.500 0.500 0.500
Ho 0.082 0.416 0.250
Ho 0.250 0.250 0.750
Ho 0.416 0.082 0.250
Ho 0.584 0.918 0.750
Ho 0.750 0.750 0.250
Ho 0.918 0.584 0.750
Er 0.167 0.833 0.500
Er 0.833 0.167 0.500
CELL_PARAMETERS angstrom
3.068 -5.309 0.000
3.068 5.309 0.000
-2.032 0.000 11.559
! **V**: 31.4 Å³ per atom
! **Formation enthalpy at 0 K**: 0.02 eV/atom
! **Crystal system**: monoclinic

---

Record 2
! Tb2Nd6Ho3Er (GGA-PBE, optimized geometry); values from VASP
&SYSTEM
  ibrav = 0, nat = 12, ntyp = 4
/
ATOMIC_SPECIES
Tb 158.93 Tb.upf
Nd 144.24 Nd.upf
Ho 164.93 Ho.upf
Er 167.26 Er.upf
ATOMIC_POSITIONS crystal
Tb 0.167 0.833 0.000
Tb 0.833 0.167 0.000
Nd 0.083 0.416 0.749
Nd 0.251 0.251 0.251
Nd 0.416 0.083 0.749
Nd 0.584 0.917 0.251
Nd 0.749 0.749 0.749
Nd 0.917 0.584 0.251
Ho 0.000 0.000 0.500
Ho 0.333 0.667 0.500
Ho 0.667 0.333 0.500
Er 0.500 0.500 0.000
CELL_PARAMETERS angstrom
3.133 -5.426 0.000
3.133 5.426 0.000
-2.081 0.000 11.657
! **V**: 33.0 Å³ per atom
! **Formation enthalpy at 0 K**: 0.01 eV/atom
! **Crystal system**: monoclinic

---

Record 3
! Tb2NdHo4Er (GGA-PBE, optimized geometry); values from VASP
&SYSTEM
  ibrav = 0, nat = 16, ntyp = 4
/
ATOMIC_SPECIES
Tb 158.93 Tb.upf
Nd 144.24 Nd.upf
Ho 164.93 Ho.upf
Er 167.26 Er.upf
ATOMIC_POSITIONS crystal
Tb 0.000 0.000 0.000
Tb 0.500 0.000 0.000
Tb 0.500 0.000 0.500
Tb 0.500 0.500 0.500
Nd 0.000 0.500 0.500
Nd 0.500 0.500 0.000
Ho 0.248 0.247 0.499
Ho 0.248 0.249 0.999
Ho 0.248 0.750 0.001
Ho 0.249 0.751 0.499
Ho 0.751 0.249 0.501
Ho 0.752 0.250 0.999
Ho 0.752 0.751 0.001
Ho 0.752 0.753 0.501
Er 0.000 0.000 0.500
Er 0.000 0.500 0.000
CELL_PARAMETERS angstrom
-3.391 5.870 6.619
3.391 -5.870 6.619
3.391 5.870 -6.619
! **V**: 32.9 Å³ per atom
! **Formation enthalpy at 0 K**: 0.44 eV/atom
! **Crystal system**: orthorhombic